1.
Density functional theory data (PBE) for crystalline Sc8CdCo2 at its relaxed geometry.

Structure (CIF):
```
data_Sc8CdCo2
_space_group_name_H-M_alt 'C 1 2/m 1'
_space_group_IT_number 12
_cell_length_a 8.085
_cell_length_b 12.263
_cell_length_c 4.879
_cell_angle_alpha 90.00
_cell_angle_beta 103.23
_cell_angle_gamma 90.00
loop_
_space_group_symop_operation_xyz
'x,y,z'
'-x,-y,-z'
'-x,y,-z'
'x,-y,z'
'x+1/2,y+1/2,z'
'-x+1/2,-y+1/2,-z'
'-x+1/2,y+1/2,-z'
'x+1/2,-y+1/2,z'
loop_
_atom_site_label
_atom_site_fract_x
_atom_site_fract_y
_atom_site_fract_z
Sc1 0.000 0.249 0.000
Sc2 0.115 0.000 0.804
Sc3 0.197 0.367 0.576
Cd1 0.000 0.500 0.000
Co1 0.000 0.187 0.500
```

Results
For the total moment, the calculation gives 0.014 μB per atom. For the formation energy, the calculation gives -0.149 eV per atom.


2.
Density functional theory data (PBE) for crystalline KH3O at its relaxed geometry.

Structure (CIF):
```
data_KH3O
_space_group_name_H-M_alt 'R 3 m'
_space_group_IT_number 160
_space_group_name_Hall 'R 3 -2"'
_cell_length_a 3.6081
_cell_length_b 3.6081
_cell_length_c 13.6532
_cell_angle_alpha 90.00
_cell_angle_beta 90.00
_cell_angle_gamma 120.00
loop_
_atom_site_label
_atom_site_fract_x
_atom_site_fract_y
_atom_site_fract_z
K1 0.0000 0.0000 0.0000
H1 0.1060 0.2121 0.8312
O1 0.0000 0.0000 0.1947
```

Results
For the total moment, the calculation gives 0.000 μB per atom.


3.
Density functional theory data (PBE) for crystalline InOsW at its relaxed geometry.

Structure (CIF):
```
data_InOsW
_space_group_name_H-M_alt 'F -4 3 m'
_space_group_IT_number 216
_space_group_name_Hall 'F -4 2 3'
_cell_length_a 6.190
_cell_length_b 6.190
_cell_length_c 6.190
_cell_angle_alpha 90.00
_cell_angle_beta 90.00
_cell_angle_gamma 90.00
loop_
_atom_site_label
_atom_site_fract_x
_atom_site_fract_y
_atom_site_fract_z
In1 0.000 0.000 0.000
Os1 0.000 0.000 0.500
W1 0.250 0.250 0.750
```

Results
For the total moment, the calculation gives 0.000 μB per atom. For the formation energy, the calculation gives 0.839 eV per atom.


Number 1: E_tot -6.129 eV per atom. Number 2: E_tot -3.452 eV per atom. Number 3: E_tot -8.135 eV per atom.